# AlCl

A geometry-optimized AlCl structure (PBE, Alexandria).

The structure belongs to space group P-3m1 (No. 164); the cell edges are 3.4363, 3.4363 and 8.9146 Å and the angles 90.00°, 90.00° and 120.00°. The asymmetric unit holds Al at (0.3333, 0.6667, 0.1008) and Cl at (0.3333, 0.6667, 0.7159).

Its size of the total moment is 0.0 Bohr magnetons per cell. The formation energy without anion corrections comes out at -0.602 eV per atom. The volume comes out at 22.8 Å³ per atom. For the density of states at the Fermi level, the calculation gives 1.41 states/eV per cell.


# Rb2LaB2O6

A geometry-optimized Rb2LaB2O6 structure (PBE, Alexandria).

The structure belongs to space group R-3m (No. 166, hexagonal axes); the cell edges are 5.6981, 5.6981 and 19.8345 Å and the angles 90.00°, 90.00° and 120.00°. The asymmetric unit holds Rb at (0.0000, 0.0000, 0.2065), La at (0.0000, 0.0000, 0.0000), B at (0.0000, 0.0000, 0.4083) and O at (0.0536, 0.5268, 0.2586).

Its size of the total moment is 3.1 Bohr magnetons per cell. The formation energy without anion corrections comes out at -2.423 eV per atom. The volume comes out at 16.9 Å³ per atom. For the density of states at the Fermi level, the calculation gives 13.70 states/eV per cell.